1.
BIrSeBr2 after structural relaxation. Source: Alexandria via LeMat-Bulk, functional PBE-GGA.

Output
E_form (uncorrected) = 1355 meV per atom
Energy above the lowest structure with this stoichiometry = 213 meV per atom
Crystal system = tetragonal
DOS at the Fermi energy = 4.03 states/eV/cell

CIF file:
```
data_BIrSeBr2
_chemical_formula_sum 'B1 Ir1 Se1 Br2'
_cell_length_a 4.4182
_cell_length_b 4.4182
_cell_length_c 4.7514
_cell_angle_alpha 90.00
_cell_angle_beta 90.00
_cell_angle_gamma 90.00
_space_group_name_H-M_alt 'P 4/m m m'
_space_group_IT_number 123
_space_group_name_Hall '-P 4 2'
loop_
_atom_site_label
_atom_site_type_symbol
_atom_site_fract_x
_atom_site_fract_y
_atom_site_fract_z
B1 B 0.0000 0.0000 0.0000
Ir1 Ir 0.5000 0.5000 0.5000
Se1 Se 0.0000 0.0000 0.5000
Br1 Br 0.0000 0.5000 0.0000
```

2.
CaZr2W after structural relaxation. Source: Alexandria via LeMat-Bulk, functional PBE-GGA.

Output
Formation energy = 0.6711 eV/atom
Energy above the lowest structure with this stoichiometry = 457 meV per atom
Crystal system = cubic
DOS at the Fermi energy = 20.20 states/eV/cell

CIF file:
```
data_CaZr2W
_chemical_formula_sum 'Ca4 Zr8 W4'
_cell_length_a 7.0768
_cell_length_b 7.0768
_cell_length_c 7.0768
_cell_angle_alpha 90.00
_cell_angle_beta 90.00
_cell_angle_gamma 90.00
_space_group_name_H-M_alt 'F -4 3 m'
_space_group_IT_number 216
_space_group_name_Hall 'F -4 2 3'
loop_
_atom_site_label
_atom_site_type_symbol
_atom_site_fract_x
_atom_site_fract_y
_atom_site_fract_z
Ca1 Ca 0.0000 0.0000 0.0000
Zr1 Zr 0.0000 0.0000 0.5000
Zr2 Zr 0.2500 0.2500 0.2500
W1 W 0.2500 0.2500 0.7500
```

> Number 2 is which compound?

CaZr2W

> Among the records above, which one has the highest energy above the lowest structure with this stoichiometry?

CaZr2W

> Among the records above, which one has the highest DOS at the Fermi energy?

CaZr2W

> Among the records above, which one has the lowest DOS at the Fermi energy?

BIrSeBr2